Compound: Ho3MnO7
Source: the Alexandria database
Functional: PBE with a Hubbard U
Structure: optimized geometry

a = 6.364 Å, b = 6.364 Å, c = 7.314 Å
α = 90.00°, β = 90.00°, γ = 108.93°
Positions (direct):
Ho 0.031 0.031 0.000
Ho 0.040 0.496 0.256
Ho 0.496 0.040 0.744
Ho 0.504 0.960 0.244
Ho 0.960 0.504 0.756
Ho 0.969 0.969 0.500
Mn 0.496 0.496 0.000
Mn 0.504 0.504 0.500
O 0.131 0.869 0.750
O 0.136 0.864 0.250
O 0.176 0.422 0.974
O 0.188 0.432 0.535
O 0.422 0.176 0.026
O 0.431 0.569 0.250
O 0.432 0.188 0.465
O 0.568 0.812 0.965
O 0.569 0.431 0.750
O 0.578 0.824 0.526
O 0.812 0.568 0.035
O 0.824 0.578 0.474
O 0.864 0.136 0.750
O 0.869 0.131 0.250

Properties
The magnetization comes out at 3.9 μB/f.u. For the uncorrected energy, the calculation gives -173.22 eV per cell. The space-group type is C222_1.